## SrEr2Se3 (PBE-GGA)

Data for a relaxed structure of SrEr2Se3.

The structure in POSCAR format:
```
SrEr2Se3
1.0
4.152 0.000 0.000
-2.076 3.596 0.000
0.000 0.000 10.193
Se Er Sr
3 2 1
Cartesian
2.076 1.199 3.180
0.000 0.000 0.000
0.000 2.397 7.013
0.000 2.397 1.514
2.076 1.199 8.679
0.000 0.000 5.096
```

Results
crystal system = trigonal
symmetry = No. 164
energy = -5.3518 eV/atom